{"formula": "SmMnSi3Os", "functional": "PBE", "state": "relaxed", "lattice_angstrom": [[3.731, -5.351, 0.000], [3.731, 5.351, 0.000], [0.000, 0.000, 5.488]], "species": ["Sm", "Sm", "Mn", "Mn", "Si", "Si", "Si", "Si", "Si", "Si", "Os", "Os"], "fractional_positions": [[0.245, 0.755, 0.750], [0.755, 0.245, 0.250], [0.045, 0.955, 0.250], [0.955, 0.045, 0.750], [0.240, 0.240, 0.000], [0.240, 0.240, 0.500], [0.242, 0.758, 0.250], [0.758, 0.242, 0.750], [0.760, 0.760, 0.000], [0.760, 0.760, 0.500], [0.451, 0.549, 0.250], [0.549, 0.451, 0.750]], "density_g_cm3": 7.270, "formation_energy_uncorrected_mev_per_atom": -306, "space_group": "No. 63", "e_tot_ev_per_fu": -43.2}